## YTmBeOs (PBE-GGA)

Data for a relaxed YTmBeOs crystal.

It has space group F-43m (No. 216), with a = 6.7898 Å, b = 6.7898 Å, c = 6.7898 Å, α = 90.00°, β = 90.00° and γ = 90.00°. Symmetry generates all atoms from Y at (0.0000, 0.0000, 0.0000), Tm at (0.0000, 0.0000, 0.5000), Be at (0.2500, 0.2500, 0.7500) and Os at (0.2500, 0.2500, 0.2500).

The total energy comes out at -105.105 eV per cell. Its crystal system is cubic.